Compound: Zr2BeP
Source: Alexandria via LeMat-Bulk
Functional: PBE
Structure: optimized geometry

* M_tot: 0.0000 μB/atom
* raw total energy: -30.0 eV for the cell shown
* symmetry: Amm2 (38)
* DFT formation energy: -935.5 meV/atom
* energy above the most stable polymorph in this dataset: 16 meV/atom

Unit cell a=3.571 b=5.233 c=5.233 alpha=41.41 beta=90.00 gamma=90.00
Fractional coordinates of all 4 atoms:
Zr 0.000 0.000 0.000
Zr 0.500 0.295 0.295
Be 0.500 0.578 0.578
P 0.000 0.712 0.712



Compound: Zr2BeP
Source: Alexandria via LeMat-Bulk
Functional: PBE
Structure: optimized geometry

* M_tot: 0.0000 μB/atom
* raw total energy: -28.0 eV for the cell shown
* symmetry: Cmmm (65)
* DFT formation energy: -432.8 meV/atom
* energy above the most stable polymorph in this dataset: 519 meV/atom

Unit cell a=4.575 b=4.575 c=3.230 alpha=90.00 beta=90.00 gamma=101.89
Fractional coordinates of all 4 atoms:
Zr 0.000 0.500 0.000
Zr 0.500 0.000 0.000
Be 0.000 0.000 0.500
P 0.500 0.500 0.500